No. 1
Compound: Li2SmCl6
Source: the Alexandria database
Functional: GGA-PBE
Structure: optimized geometry

abc: 6.883 6.883 9.441
angles: 105.13 105.13 35.92
Fractional positions:
Li 0.210 0.210 0.158
Li 0.790 0.790 0.842
Sm 0.000 0.000 0.500
Cl 0.057 0.057 0.253
Cl 0.329 0.329 0.958
Cl 0.362 0.362 0.395
Cl 0.638 0.638 0.605
Cl 0.671 0.671 0.042
Cl 0.943 0.943 0.747

Results
Space group: No. 12
Electronic total energy in eV/cell: -34.53


No. 2
Compound: Li2SmCl4
Source: the Alexandria database
Functional: GGA-PBE
Structure: optimized geometry

abc: 7.831 7.831 7.831
angles: 125.81 118.08 86.80
Fractional positions:
Li 0.000 0.000 0.000
Li 0.378 0.628 0.750
Li 0.500 0.000 0.500
Li 0.622 0.372 0.250
Sm 0.000 0.000 0.500
Sm 0.000 0.500 0.000
Cl 0.243 0.234 0.490
Cl 0.243 0.753 0.010
Cl 0.254 0.232 0.022
Cl 0.290 0.768 0.522
Cl 0.710 0.232 0.478
Cl 0.746 0.768 0.978
Cl 0.757 0.247 0.990
Cl 0.757 0.766 0.510

Results
Space group: No. 74
Electronic total energy in eV/cell: -57.73


No. 3
Compound: LiSmCl3
Source: the Alexandria database
Functional: GGA-PBE
Structure: optimized geometry

abc: 3.610 12.055 12.055
angles: 145.73 90.00 90.00
Fractional positions:
Li 0.250 0.117 0.883
Li 0.750 0.883 0.117
Sm 0.250 0.410 0.758
Sm 0.750 0.758 0.410
Cl 0.250 0.085 0.641
Cl 0.250 0.452 0.203
Cl 0.250 0.746 0.911
Cl 0.750 0.203 0.452
Cl 0.750 0.641 0.085
Cl 0.750 0.911 0.746

Results
Space group: No. 40
Electronic total energy in eV/cell: -42.85


Result set for M_tot: 1.036 0.417 0.502 μB per cell, one per record in the order listed.
Result set for ΔE_f (raw): -14.9 -12.9 -9.3 eV/f.u., one per record in the order listed.